11
Lattice="5.6521 0.0000 0.0000 0.0000 5.6521 0.0000 0.0000 0.0000 8.2421" Properties=species:S:1:pos:R:3 comment="CaPt2Au8 | Alexandria | PBE | optimized geometry" m_tot_mub_per_fu=0.00 delta_e_f_ev_per_atom=0.08 e_tot_ev_per_atom=-3.582 pbc="T T T"
Ca 0.0000 0.0000 0.0000
Pt 0.0000 2.8260 4.1211
Pt 2.8260 0.0000 4.1211
Au 1.4233 1.4233 2.2576
Au 1.4233 1.4233 5.9845
Au 1.4233 4.2287 2.2576
Au 1.4233 4.2287 5.9845
Au 4.2287 1.4233 2.2576
Au 4.2287 1.4233 5.9845
Au 4.2287 4.2287 2.2576
Au 4.2287 4.2287 5.9845

***

4
Lattice="0.0000 3.6040 3.6040 3.6040 0.0000 3.6040 3.6040 3.6040 0.0000" Properties=species:S:1:pos:R:3 comment="YSc2Ta | Alexandria | PBE | optimized geometry" m_tot_mub_per_fu=1.51 delta_e_f_ev_per_atom=0.33 e_tot_ev_per_atom=-7.417 de_polymorph_mev_per_atom=170.5 pbc="T T T"
Y 0.0000 0.0000 0.0000
Sc 1.8020 1.8020 1.8020
Sc 5.4061 5.4061 5.4061
Ta 3.6040 3.6040 3.6040

***

What is the formula in the second record?
YSc2Ta